(1)
DFT (PBE) results for a geometry-optimized NaTb5Se6 structure.

```
data_NaTb5Se6
_chemical_formula_sum 'Na2 Tb10 Se12'
_symmetry_space_group_name_H-M 'C 1 2/m 1'
_symmetry_Int_Tables_number 12
_cell_length_a 7.102
_cell_length_b 12.291
_cell_length_c 7.132
_cell_angle_alpha 90.00
_cell_angle_beta 109.40
_cell_angle_gamma 90.00
loop_
_symmetry_equiv_pos_as_xyz
'x,y,z'
'-x,-y,-z'
'-x,y,-z'
'x,-y,z'
'x+1/2,y+1/2,z'
'-x+1/2,-y+1/2,-z'
'-x+1/2,y+1/2,-z'
'x+1/2,-y+1/2,z'
loop_
_atom_site_label
_atom_site_fract_x
_atom_site_fract_y
_atom_site_fract_z
_atom_site_occupancy
Na1 0.000 0.000 0.000 1
Tb1 0.000 0.164 0.500 1
Tb2 0.000 0.335 0.000 1
Tb3 0.000 0.500 0.500 1
Se1 0.249 0.000 0.754 1
Se2 0.250 0.167 0.251 1
```

Output
* formation energy without anion corrections: -1.756 eV per atom
* M_tot: 0.00 μB per formula unit
* V: 24.5 Å³/atom

(2)
DFT (PBE) results for a geometry-optimized Na4Y3NpSe8 structure.

```
data_Na4Y3NpSe8
_chemical_formula_sum 'Na12 Y9 Np3 Se24'
_symmetry_space_group_name_H-M 'R -3 m'
_symmetry_Int_Tables_number 166
_symmetry_space_group_name_Hall '-R 3 2"'
_cell_length_a 8.3363
_cell_length_b 8.3363
_cell_length_c 20.9937
_cell_angle_alpha 90.00
_cell_angle_beta 90.00
_cell_angle_gamma 120.00
loop_
_atom_site_label
_atom_site_fract_x
_atom_site_fract_y
_atom_site_fract_z
_atom_site_occupancy
Na1 0.0000 0.0000 0.0000 1
Na2 0.0000 0.5000 0.0000 1
Y1 0.0000 0.5000 0.5000 1
Np1 0.0000 0.0000 0.5000 1
Se1 0.0000 0.0000 0.2434 1
Se2 0.0033 0.5016 0.7565 1
```

Output
* formation energy without anion corrections: -1.577 eV per atom
* M_tot: 4.00 μB per formula unit
* V: 26.3 Å³/atom

(3)
DFT (PBE) results for a geometry-optimized Mg5Zn structure.

```
data_Mg5Zn
_chemical_formula_sum 'Mg5 Zn1'
_symmetry_space_group_name_H-M 'P -6 m 2'
_symmetry_Int_Tables_number 187
_symmetry_space_group_name_Hall 'P -6 2'
_cell_length_a 3.1598
_cell_length_b 3.1598
_cell_length_c 14.9526
_cell_angle_alpha 90.00
_cell_angle_beta 90.00
_cell_angle_gamma 120.00
loop_
_atom_site_label
_atom_site_fract_x
_atom_site_fract_y
_atom_site_fract_z
_atom_site_occupancy
Mg1 0.0000 0.0000 0.0000 1
Mg2 0.0000 0.0000 0.3521 1
Mg3 0.6667 0.3333 0.1769 1
Zn1 0.6667 0.3333 0.5000 1
```

Output
* formation enthalpy at 0 K: 0.0004 eV/atom
* M_tot: 0.00 μB per formula unit
* V: 21.5 Å³/atom

(4)
DFT (PBE) results for a geometry-optimized La3Pr4YTe8 structure.

```
data_La3Pr4YTe8
_chemical_formula_sum 'La9 Pr12 Y3 Te24'
_symmetry_space_group_name_H-M 'R -3 m'
_symmetry_Int_Tables_number 166
_symmetry_space_group_name_Hall '-R 3 2"'
_cell_length_a 9.0708
_cell_length_b 9.0708
_cell_length_c 22.1754
_cell_angle_alpha 90.00
_cell_angle_beta 90.00
_cell_angle_gamma 120.00
loop_
_atom_site_label
_atom_site_fract_x
_atom_site_fract_y
_atom_site_fract_z
_atom_site_occupancy
La1 0.0000 0.5000 0.0000 1
Pr1 0.0000 0.0000 0.5000 1
Pr2 0.0000 0.5000 0.5000 1
Y1 0.0000 0.0000 0.0000 1
Te1 0.0000 0.0000 0.2493 1
Te2 0.0075 0.5037 0.7488 1
```

Output
* formation energy without anion corrections: -1.479 eV per atom
* M_tot: 0.00 μB per formula unit
* V: 32.9 Å³/atom

(5)
DFT (PBE) results for a geometry-optimized CeCd2Sn2 structure.

```
data_CeCd2Sn2
_chemical_formula_sum 'Ce4 Cd8 Sn8'
_symmetry_space_group_name_H-M 'C m c m'
_symmetry_Int_Tables_number 63
_symmetry_space_group_name_Hall '-C 2c 2'
_cell_length_a 4.506
_cell_length_b 24.687
_cell_length_c 4.510
_cell_angle_alpha 90.00
_cell_angle_beta 90.00
_cell_angle_gamma 90.00
loop_
_atom_site_label
_atom_site_fract_x
_atom_site_fract_y
_atom_site_fract_z
_atom_site_occupancy
Ce1 0.000 0.149 0.250 1
Cd1 0.000 0.042 0.750 1
Cd2 0.000 0.455 0.750 1
Sn1 0.000 0.250 0.750 1
Sn2 0.000 0.367 0.250 1
```

Output
* formation enthalpy at 0 K: -0.3621 eV/atom
* M_tot: 0.75 μB per formula unit
* V: 25.1 Å³/atom

(6)
DFT (PBE) results for a geometry-optimized Li2Er2Rh3 structure.

```
data_Li2Er2Rh3
_chemical_formula_sum 'Li4 Er4 Rh6'
_symmetry_space_group_name_H-M 'C m m m'
_symmetry_Int_Tables_number 65
_symmetry_space_group_name_Hall '-C 2 2'
_cell_length_a 3.318
_cell_length_b 23.118
_cell_length_c 3.242
_cell_angle_alpha 90.00
_cell_angle_beta 90.00
_cell_angle_gamma 90.00
loop_
_atom_site_label
_atom_site_fract_x
_atom_site_fract_y
_atom_site_fract_z
_atom_site_occupancy
Li1 0.000 0.207 0.000 1
Er1 0.000 0.078 0.000 1
Rh1 0.000 0.351 0.500 1
Rh2 0.000 0.500 0.500 1
```

Output
* formation enthalpy at 0 K: -0.5387 eV/atom
* M_tot: 0.00 μB per formula unit
* V: 17.8 Å³/atom

(7)
DFT (PBE) results for a geometry-optimized PuMgGaTc structure.

```
data_PuMgGaTc
_chemical_formula_sum 'Pu4 Mg4 Ga4 Tc4'
_symmetry_space_group_name_H-M 'F -4 3 m'
_symmetry_Int_Tables_number 216
_symmetry_space_group_name_Hall 'F -4 2 3'
_cell_length_a 6.703
_cell_length_b 6.703
_cell_length_c 6.703
_cell_angle_alpha 90.00
_cell_angle_beta 90.00
_cell_angle_gamma 90.00
loop_
_atom_site_label
_atom_site_fract_x
_atom_site_fract_y
_atom_site_fract_z
_atom_site_occupancy
Pu1 0.000 0.000 0.000 1
Mg1 0.000 0.000 0.500 1
Ga1 0.250 0.250 0.250 1
Tc1 0.250 0.250 0.750 1
```

Output
* formation enthalpy at 0 K: 0.1074 eV/atom
* M_tot: 4.33 μB per formula unit
* V: 18.8 Å³/atom

(8)
DFT (PBE) results for a geometry-optimized Cs8Na2H structure.

```
data_Cs8Na2H
_chemical_formula_sum 'Cs16 Na4 H2'
_symmetry_space_group_name_H-M 'C 1 m 1'
_symmetry_Int_Tables_number 8
_cell_length_a 12.158
_cell_length_b 15.816
_cell_length_c 9.354
_cell_angle_alpha 90.00
_cell_angle_beta 96.01
_cell_angle_gamma 90.00
loop_
_symmetry_equiv_pos_as_xyz
'x,y,z'
'x,-y,z'
'x+1/2,y+1/2,z'
'x+1/2,-y+1/2,z'
loop_
_atom_site_label
_atom_site_fract_x
_atom_site_fract_y
_atom_site_fract_z
_atom_site_occupancy
Cs1 0.000 0.000 0.000 1
Cs2 0.013 0.143 0.559 1
Cs3 0.173 0.339 0.217 1
Cs4 0.334 0.143 0.873 1
Cs5 0.346 0.000 0.433 1
Na1 0.174 0.390 0.718 1
H1 0.174 0.000 0.716 1
```

Output
* M_tot: 0.00 μB per formula unit
* V: 81.3 Å³/atom
* calculated total energy: -1.16 eV per atom

(9)
DFT (PBE) results for a geometry-optimized TlNi2Pd2 structure.

```
data_TlNi2Pd2
_chemical_formula_sum 'Tl2 Ni4 Pd4'
_symmetry_space_group_name_H-M 'P 4/m b m'
_symmetry_Int_Tables_number 127
_symmetry_space_group_name_Hall '-P 4 2ab'
_cell_length_a 7.305
_cell_length_b 7.305
_cell_length_c 2.955
_cell_angle_alpha 90.00
_cell_angle_beta 90.00
_cell_angle_gamma 90.00
loop_
_atom_site_label
_atom_site_fract_x
_atom_site_fract_y
_atom_site_fract_z
_atom_site_occupancy
Tl1 0.000 0.000 0.000 1
Ni1 0.158 0.342 0.500 1
Pd1 0.136 0.636 0.000 1
```

Output
* formation enthalpy at 0 K: 0.1847 eV/atom
* distance to the lowest polymorph of the same formula: 41.9 meV/atom
* M_tot: 1.36 μB per formula unit
* V: 15.8 Å³/atom

(10)
DFT (PBE) results for a geometry-optimized Tm6Cd2Ni structure.

```
data_Tm6Cd2Ni
_chemical_formula_sum 'Tm12 Cd4 Ni2'
_symmetry_space_group_name_H-M 'C 1 2/m 1'
_symmetry_Int_Tables_number 12
_cell_length_a 11.915
_cell_length_b 7.077
_cell_length_c 7.171
_cell_angle_alpha 90.00
_cell_angle_beta 126.02
_cell_angle_gamma 90.00
loop_
_symmetry_equiv_pos_as_xyz
'x,y,z'
'-x,-y,-z'
'-x,y,-z'
'x,-y,z'
'x+1/2,y+1/2,z'
'-x+1/2,-y+1/2,-z'
'-x+1/2,y+1/2,-z'
'x+1/2,-y+1/2,z'
loop_
_atom_site_label
_atom_site_fract_x
_atom_site_fract_y
_atom_site_fract_z
_atom_site_occupancy
Tm1 0.043 0.247 0.296 1
Tm2 0.243 0.000 0.818 1
Cd1 0.244 0.500 0.746 1
Ni1 0.000 0.500 0.000 1
```

Output
* formation enthalpy at 0 K: -0.1567 eV/atom
* M_tot: 0.00 μB per formula unit
* V: 27.2 Å³/atom

(11)
DFT (PBE) results for a geometry-optimized Li2Pr4Os structure.

```
data_Li2Pr4Os
_chemical_formula_sum 'Li6 Pr12 Os3'
_symmetry_space_group_name_H-M 'R -3 m'
_symmetry_Int_Tables_number 166
_symmetry_space_group_name_Hall '-R 3 2"'
_cell_length_a 5.1685
_cell_length_b 5.1685
_cell_length_c 25.3994
_cell_angle_alpha 90.00
_cell_angle_beta 90.00
_cell_angle_gamma 120.00
loop_
_atom_site_label
_atom_site_fract_x
_atom_site_fract_y
_atom_site_fract_z
_atom_site_occupancy
Li1 0.0000 0.0000 0.2457 1
Pr1 0.0000 0.0000 0.1268 1
Pr2 0.0000 0.0000 0.3796 1
Os1 0.0000 0.0000 0.5000 1
```

Output
* formation enthalpy at 0 K: 0.1719 eV/atom
* M_tot: 0.00 μB per formula unit
* V: 28.0 Å³/atom

(12)
DFT (PBE) results for a geometry-optimized LaHfAu structure.

```
data_LaHfAu
_chemical_formula_sum 'La2 Hf2 Au2'
_symmetry_space_group_name_H-M 'P 63/m m c'
_symmetry_Int_Tables_number 194
_symmetry_space_group_name_Hall '-P 6c 2c'
_cell_length_a 4.8792
_cell_length_b 4.8792
_cell_length_c 11.8764
_cell_angle_alpha 90.00
_cell_angle_beta 90.00
_cell_angle_gamma 120.00
loop_
_atom_site_label
_atom_site_fract_x
_atom_site_fract_y
_atom_site_fract_z
_atom_site_occupancy
La1 0.0000 0.0000 0.2500 1
Hf1 0.0000 0.0000 0.0000 1
Au1 0.3333 0.6667 0.2500 1
```

Output
* formation enthalpy at 0 K: 1.4039 eV/atom
* distance to the lowest polymorph of the same formula: 1808.8 meV/atom
* M_tot: 1.25 μB per formula unit
* V: 40.8 Å³/atom

(13)
DFT (PBE) results for a geometry-optimized Cs2CdGe structure.

```
data_Cs2CdGe
_chemical_formula_sum 'Cs8 Cd4 Ge4'
_symmetry_space_group_name_H-M 'I -4 2 d'
_symmetry_Int_Tables_number 122
_symmetry_space_group_name_Hall 'I -4 2bw'
_cell_length_a 5.343
_cell_length_b 5.343
_cell_length_c 25.198
_cell_angle_alpha 90.00
_cell_angle_beta 90.00
_cell_angle_gamma 90.00
loop_
_atom_site_label
_atom_site_fract_x
_atom_site_fract_y
_atom_site_fract_z
_atom_site_occupancy
Cs1 0.249 0.250 0.125 1
Cd1 0.000 0.000 0.000 1
Ge1 0.000 0.000 0.500 1
```

Output
* formation enthalpy at 0 K: 0.4595 eV/atom
* M_tot: 0.00 μB per formula unit
* V: 45.0 Å³/atom

(14)
DFT (PBE) results for a geometry-optimized KYSeF2 structure.

```
data_KYSeF2
_chemical_formula_sum 'K1 Y1 Se1 F2'
_symmetry_space_group_name_H-M 'P 4/m m m'
_symmetry_Int_Tables_number 123
_symmetry_space_group_name_Hall '-P 4 2'
_cell_length_a 4.527
_cell_length_b 4.527
_cell_length_c 5.629
_cell_angle_alpha 90.00
_cell_angle_beta 90.00
_cell_angle_gamma 90.00
loop_
_atom_site_label
_atom_site_fract_x
_atom_site_fract_y
_atom_site_fract_z
_atom_site_occupancy
K1 0.000 0.000 0.000 1
Y1 0.500 0.500 0.500 1
Se1 0.500 0.500 0.000 1
F1 0.000 0.500 0.500 1
```

Output
* formation energy without anion corrections: -2.857 eV per atom
* M_tot: 0.00 μB per formula unit
* V: 23.1 Å³/atom

(15)
DFT (PBE) results for a geometry-optimized Na2IrCl2F4 structure.

```
data_Na2IrCl2F4
_chemical_formula_sum 'Na4 Ir2 Cl4 F8'
_symmetry_space_group_name_H-M 'C 1 2/m 1'
_symmetry_Int_Tables_number 12
_cell_length_a 11.443
_cell_length_b 5.587
_cell_length_c 4.913
_cell_angle_alpha 90.00
_cell_angle_beta 96.89
_cell_angle_gamma 90.00
loop_
_symmetry_equiv_pos_as_xyz
'x,y,z'
'-x,-y,-z'
'-x,y,-z'
'x,-y,z'
'x+1/2,y+1/2,z'
'-x+1/2,-y+1/2,-z'
'-x+1/2,y+1/2,-z'
'x+1/2,-y+1/2,z'
loop_
_atom_site_label
_atom_site_fract_x
_atom_site_fract_y
_atom_site_fract_z
_atom_site_occupancy
Na1 0.125 0.000 0.168 1
Ir1 0.000 0.500 0.500 1
Cl1 0.184 0.500 0.338 1
F1 0.052 0.243 0.760 1
```

Output
* formation energy without anion corrections: -1.713 eV per atom
* M_tot: 1.04 μB per formula unit
* V: 17.3 Å³/atom

(16)
DFT (PBE) results for a geometry-optimized Ag2SnO structure.

```
data_Ag2SnO
_chemical_formula_sum 'Ag8 Sn4 O4'
_symmetry_space_group_name_H-M 'I -4 2 d'
_symmetry_Int_Tables_number 122
_symmetry_space_group_name_Hall 'I -4 2bw'
_cell_length_a 7.462
_cell_length_b 7.462
_cell_length_c 5.080
_cell_angle_alpha 90.00
_cell_angle_beta 90.00
_cell_angle_gamma 90.00
loop_
_atom_site_label
_atom_site_fract_x
_atom_site_fract_y
_atom_site_fract_z
_atom_site_occupancy
Ag1 0.178 0.250 0.125 1
Sn1 0.000 0.000 0.500 1
O1 0.000 0.000 0.000 1
```

Output
* formation energy without anion corrections: -0.085 eV per atom
* distance to the lowest polymorph of the same formula: 0.0 meV/atom
* M_tot: 0.00 μB per formula unit
* V: 17.7 Å³/atom

(17)
DFT (PBE) results for a geometry-optimized KSe2IBr structure.

```
data_KSe2IBr
_chemical_formula_sum 'K1 Se2 I1 Br1'
_symmetry_space_group_name_H-M 'P 4/m m m'
_symmetry_Int_Tables_number 123
_symmetry_space_group_name_Hall '-P 4 2'
_cell_length_a 6.420
_cell_length_b 6.420
_cell_length_c 5.975
_cell_angle_alpha 90.00
_cell_angle_beta 90.00
_cell_angle_gamma 90.00
loop_
_atom_site_label
_atom_site_fract_x
_atom_site_fract_y
_atom_site_fract_z
_atom_site_occupancy
K1 0.000 0.000 0.000 1
Se1 0.000 0.500 0.000 1
I1 0.500 0.500 0.500 1
Br1 0.000 0.000 0.500 1
```

Output
* formation energy without anion corrections: 0.503 eV per atom
* distance to the lowest polymorph of the same formula: 662.0 meV/atom
* M_tot: 5.03 μB per formula unit
* V: 49.3 Å³/atom

(18)
DFT (PBE) results for a geometry-optimized Ba4Ga2O structure.

```
data_Ba4Ga2O
_chemical_formula_sum 'Ba8 Ga4 O2'
_symmetry_space_group_name_H-M 'C 1 2/m 1'
_symmetry_Int_Tables_number 12
_cell_length_a 17.062
_cell_length_b 4.180
_cell_length_c 6.991
_cell_angle_alpha 90.00
_cell_angle_beta 103.70
_cell_angle_gamma 90.00
loop_
_symmetry_equiv_pos_as_xyz
'x,y,z'
'-x,-y,-z'
'-x,y,-z'
'x,-y,z'
'x+1/2,y+1/2,z'
'-x+1/2,-y+1/2,-z'
'-x+1/2,y+1/2,-z'
'x+1/2,-y+1/2,z'
loop_
_atom_site_label
_atom_site_fract_x
_atom_site_fract_y
_atom_site_fract_z
_atom_site_occupancy
Ba1 0.070 0.000 0.248 1
Ba2 0.147 0.500 0.829 1
Ga1 0.244 0.500 0.386 1
O1 0.000 0.500 0.000 1
```

Output
* formation energy without anion corrections: -0.836 eV per atom
* distance to the lowest polymorph of the same formula: 36.1 meV/atom
* M_tot: 0.00 μB per formula unit
* V: 34.6 Å³/atom

(19)
DFT (PBE) results for a geometry-optimized BePdSe structure.

```
data_BePdSe
_chemical_formula_sum 'Be2 Pd2 Se2'
_symmetry_space_group_name_H-M 'P 1 21 1'
_symmetry_Int_Tables_number 4
_cell_length_a 4.488
_cell_length_b 3.853
_cell_length_c 5.810
_cell_angle_alpha 90.00
_cell_angle_beta 104.21
_cell_angle_gamma 90.00
loop_
_symmetry_equiv_pos_as_xyz
'x,y,z'
'-x,y+1/2,-z'
loop_
_atom_site_label
_atom_site_fract_x
_atom_site_fract_y
_atom_site_fract_z
_atom_site_occupancy
Be1 0.142 0.000 0.094 1
Pd1 0.348 0.296 0.827 1
Se1 0.189 0.497 0.304 1
```

Output
* formation energy without anion corrections: -0.321 eV per atom
* M_tot: 0.00 μB per formula unit
* V: 16.2 Å³/atom

(20)
DFT (PBE) results for a geometry-optimized Nb3HgBi structure.

```
data_Nb3HgBi
_chemical_formula_sum 'Nb3 Hg1 Bi1'
_symmetry_space_group_name_H-M 'P m -3 m'
_symmetry_Int_Tables_number 221
_symmetry_space_group_name_Hall '-P 4 2 3'
_cell_length_a 5.098
_cell_length_b 5.098
_cell_length_c 5.098
_cell_angle_alpha 90.00
_cell_angle_beta 90.00
_cell_angle_gamma 90.00
loop_
_atom_site_label
_atom_site_fract_x
_atom_site_fract_y
_atom_site_fract_z
_atom_site_occupancy
Nb1 0.000 0.000 0.500 1
Hg1 0.000 0.000 0.000 1
Bi1 0.500 0.500 0.500 1
```

Output
* formation enthalpy at 0 K: 1.6334 eV/atom
* distance to the lowest polymorph of the same formula: 0.0 meV/atom
* M_tot: 0.00 μB per formula unit
* V: 26.5 Å³/atom